1.
The following is a GGA-PBE calculation of crystalline NdTm4PbS8 at its relaxed geometry, from the Alexandria database.

Computed properties:
Formation energy from raw total energies = -1.7481 eV per atom
Fermi-level density of states = 4.16 states/eV per cell
Density = 5.63 g cm⁻³

The structure in extended XYZ format:
```
14
Lattice="-5.9243 0.1787 -5.4250 -7.6341 -0.8473 2.3586 -5.0248 6.4803 -0.2495" Properties=species:S:1:pos:R:3 pbc="T T T"
Nd -5.0215 6.4363 -0.2546
S -11.0956 4.0558 0.3499
S -11.5223 1.2314 -2.3687
S -7.5559 1.6716 -3.5942
S -6.9491 4.5160 -0.9312
S -13.9256 4.2015 -2.5052
S -8.4442 1.1386 0.4499
S -10.1669 4.6131 -3.8778
S -4.6711 1.7888 -0.7903
Tm -2.5416 3.2533 -0.1294
Tm -9.1004 0.3695 -1.9504
Tm -6.3112 2.8349 1.0352
Tm -5.4669 3.3416 -2.8083
Pb -9.4851 5.4729 -1.3621
```

2.
The following is a GGA-PBE calculation of crystalline LiCaH3 at its relaxed geometry, from the Alexandria database.

Computed properties:
Fermi-level density of states = 0.00 states/eV per cell
Density = 1.40 g cm⁻³
E_tot = -15.67 eV per formula unit

The structure in extended XYZ format:
```
10
Lattice="3.0759 0.0000 0.0000 0.0000 3.7699 0.0000 -3.0595 0.0000 10.2454" Properties=species:S:1:pos:R:3 pbc="T T T"
Li 1.1475 1.8850 3.2037
Li -0.3822 0.0000 8.3264
Ca 2.6839 0.0000 1.0596
Ca 1.1541 1.8850 6.1823
H 1.1380 0.0000 2.7151
H -0.3525 0.0000 6.3333
H -0.3918 1.8850 7.8378
H -0.3923 1.8850 4.3848
H -1.9221 0.0000 9.5075
H 1.1772 1.8850 1.2106
```

3.
The following is a GGA-PBE calculation of crystalline ZnBiBr2 at its relaxed geometry, from the Alexandria database.

Computed properties:
Formation energy from raw total energies = 0.0667 eV per atom
Distance to the lowest polymorph of the same formula = 0.430 eV per atom
Fermi-level density of states = 2.56 states/eV per cell
Density = 6.80 g cm⁻³

The structure in extended XYZ format:
```
4
Lattice="4.5244 -2.4835 -1.2618 1.3864 -4.4520 2.5472 -0.1491 -4.6673 -2.5348" Properties=species:S:1:pos:R:3 pbc="T T T"
Br 4.3213 -8.7021 -0.9371
Br 1.4404 -2.9007 -0.3124
Zn 0.0000 0.0000 0.0000
Bi 2.8809 -5.8014 -0.6247
```